VASP calculation (PBE with a Hubbard U) on crystalline AlCr3Cd3O8 at its relaxed geometry.

Structure (extended XYZ):
```
15
Lattice="3.0202 1.7437 5.8515 -3.0202 1.7437 5.8515 0.0000 -3.4874 5.8515" Properties=species:S:1:pos:R:3 pbc="T T T"
Al 0.0000 0.0000 0.0000
Cr -1.5101 -0.8718 5.8515
Cr -1.5101 0.8718 11.7031
Cr 0.0000 1.7437 5.8515
Cd -3.0202 0.0000 8.7773
Cd -1.5101 0.8718 2.9258
Cd 1.5101 0.8718 2.9258
O 0.0000 -1.8320 6.8821
O -1.5866 0.9160 6.8821
O -1.5866 -0.9160 10.6725
O 0.0000 0.0000 4.8082
O 0.0000 0.0000 12.7465
O 1.5866 0.9160 6.8821
O 1.5866 -0.9160 10.6725
O 0.0000 1.8320 10.6725
```

Properties
Space-group type = No. 166
Total magnetization = 9.48 μB per cell
Calculated total energy = -0.4540 Ry/atom